Compound: PrDyIn6
Source: Alexandria
Functional: PBE
Structure: optimized geometry

Output
ΔE_f ... -0.4442 eV per atom
ρ ... 8.0 g/cm3
Space-group type ... P4/mmm, No. 123
Energy above the lowest structure with this stoichiometry ... 0 meV per atom
Final energy ... -29.4 eV for the cell shown

```
data_PrDyIn6
_cell_length_a 4.688
_cell_length_b 4.688
_cell_length_c 9.374
_cell_angle_alpha 90.00
_cell_angle_beta 90.00
_cell_angle_gamma 90.00
_symmetry_space_group_name_H-M 'P 1'
_symmetry_Int_Tables_number 1
loop_
_symmetry_equiv_pos_as_xyz
'x,y,z'
loop_
_atom_site_label
_atom_site_type_symbol
_atom_site_fract_x
_atom_site_fract_y
_atom_site_fract_z
Pr1 Pr 0.000 0.000 0.000
Dy1 Dy 0.000 0.000 0.500
In1 In 0.500 0.500 0.000
In2 In 0.500 0.500 0.500
In3 In 0.500 0.000 0.256
In4 In 0.500 0.000 0.744
In5 In 0.000 0.500 0.256
In6 In 0.000 0.500 0.744
```

Compound: HfPaSnMo
Source: Alexandria
Functional: PBE
Structure: optimized geometry

Output
ΔE_f ... 0.1094 eV per atom
ρ ... 11.8 g/cm3
Space-group type ... F-43m, No. 216
Final energy ... -33.8 eV for the cell shown

```
data_HfPaSnMo
_cell_length_a 4.984
_cell_length_b 4.984
_cell_length_c 4.984
_cell_angle_alpha 60.00
_cell_angle_beta 60.00
_cell_angle_gamma 60.00
_symmetry_space_group_name_H-M 'P 1'
_symmetry_Int_Tables_number 1
loop_
_symmetry_equiv_pos_as_xyz
'x,y,z'
loop_
_atom_site_label
_atom_site_type_symbol
_atom_site_fract_x
_atom_site_fract_y
_atom_site_fract_z
Mo1 Mo 0.750 0.750 0.750
Pa1 Pa 0.000 0.000 0.000
Hf1 Hf 0.500 0.500 0.500
Sn1 Sn 0.250 0.250 0.250
```